Version a
! Dy6Er8Tm | the Alexandria database | GGA-PBE | optimized geometry; values from VASP
&SYSTEM
  ibrav = 0, nat = 15, ntyp = 3
/
ATOMIC_SPECIES
Er 167.26 Er.upf
Dy 162.50 Dy.upf
Tm 168.93 Tm.upf
ATOMIC_POSITIONS crystal
Er 0.229 0.333 0.667
Er 0.262 0.908 0.530
Er 0.738 0.092 0.470
Er 0.738 0.530 0.622
Er 0.262 0.622 0.092
Er 0.738 0.378 0.908
Er 0.771 0.667 0.333
Er 0.262 0.470 0.378
Dy 0.225 0.052 0.275
Dy 0.775 0.948 0.725
Dy 0.775 0.776 0.052
Dy 0.775 0.275 0.224
Dy 0.225 0.224 0.948
Dy 0.225 0.725 0.776
Tm 0.500 0.000 0.000
CELL_PARAMETERS angstrom
-5.547 1.358 -0.443
0.330 -1.771 -9.563
-2.248 -7.156 6.198
! Crystal system: trigonal
! M_tot (μB/f.u.): 0.00
! Space-group type: No. 147

Version b
! Dy6Er8Tm | the Alexandria database | GGA-PBE | optimized geometry; values from VASP
&SYSTEM
  ibrav = 0, nat = 15, ntyp = 3
/
ATOMIC_SPECIES
Er 167.26 Er.upf
Dy 162.50 Dy.upf
Tm 168.93 Tm.upf
ATOMIC_POSITIONS crystal
Er 0.743 0.722 0.426
Er 0.110 0.743 0.426
Er 0.722 0.110 0.426
Er 0.278 0.890 0.574
Er 0.890 0.257 0.574
Er 0.257 0.278 0.574
Er 0.577 0.577 0.270
Er 0.423 0.423 0.730
Dy 0.111 0.223 0.124
Dy 0.777 0.459 0.876
Dy 0.459 0.889 0.876
Dy 0.541 0.111 0.124
Dy 0.889 0.777 0.876
Dy 0.223 0.541 0.124
Tm 0.000 0.000 0.000
CELL_PARAMETERS angstrom
8.935 0.000 0.000
4.468 7.738 0.000
4.468 2.579 6.792
! Crystal system: trigonal
! M_tot (μB/f.u.): 0.00
! Space-group type: No. 148

Verdict on stability: version b comes out on top.

Version a
! DyEr4Tm3 | the Alexandria database | GGA-PBE | optimized geometry; values from VASP
&SYSTEM
  ibrav = 0, nat = 16, ntyp = 3
/
ATOMIC_SPECIES
Tm 168.93 Tm.upf
Er 167.26 Er.upf
Dy 162.50 Dy.upf
ATOMIC_POSITIONS crystal
Tm 0.981 0.625 0.750
Tm 0.148 0.375 0.500
Tm 0.481 0.375 0.250
Tm 0.481 0.375 0.750
Tm 0.981 0.625 0.250
Tm 0.648 0.625 0.000
Er 0.981 0.125 0.749
Er 0.648 0.125 0.000
Er 0.481 0.875 0.249
Er 0.481 0.875 0.751
Er 0.647 0.125 0.500
Er 0.981 0.125 0.251
Er 0.147 0.875 0.000
Er 0.148 0.875 0.500
Dy 0.148 0.375 0.000
Dy 0.648 0.625 0.500
CELL_PARAMETERS angstrom
-0.833 5.970 1.393
-3.750 0.883 -6.031
-9.301 -2.560 5.409
! Crystal system: orthorhombic
! M_tot (μB/f.u.): 0.00
! Space-group type: No. 31

Version b
! DyEr4Tm3 | the Alexandria database | GGA-PBE | optimized geometry; values from VASP
&SYSTEM
  ibrav = 0, nat = 8, ntyp = 3
/
ATOMIC_SPECIES
Tm 168.93 Tm.upf
Er 167.26 Er.upf
Dy 162.50 Dy.upf
ATOMIC_POSITIONS crystal
Tm 0.844 0.999 0.688
Tm 0.000 0.500 0.000
Tm 0.156 0.001 0.312
Er 0.604 0.500 0.207
Er 0.277 0.499 0.554
Er 0.723 0.501 0.446
Er 0.396 0.500 0.793
Dy 0.500 0.000 0.000
CELL_PARAMETERS angstrom
5.421 0.000 -1.080
-0.063 3.499 -0.317
-0.204 1.190 13.113
! Crystal system: orthorhombic
! M_tot (μB/f.u.): 0.00
! Space-group type: No. 65

Verdict on stability: version a comes out on top.

Version a
! Dy5Er4Tm2 | the Alexandria database | GGA-PBE | optimized geometry; values from VASP
&SYSTEM
  ibrav = 0, nat = 11, ntyp = 3
/
ATOMIC_SPECIES
Dy 162.50 Dy.upf
Er 167.26 Er.upf
Tm 168.93 Tm.upf
ATOMIC_POSITIONS crystal
Dy 0.790 0.347 0.223
Dy 0.000 0.000 0.500
Dy 0.210 0.653 0.777
Dy 0.347 0.790 0.223
Dy 0.653 0.210 0.777
Er 0.315 0.315 0.500
Er 0.668 0.668 0.880
Er 0.685 0.685 0.500
Er 0.332 0.332 0.120
Tm 0.146 0.146 0.880
Tm 0.854 0.854 0.120
CELL_PARAMETERS angstrom
-4.776 -1.676 -4.131
2.264 -2.141 -5.742
-0.441 -9.067 0.687
! Crystal system: monoclinic
! M_tot (μB/f.u.): 0.03
! Space-group type: No. 12

Version b
! Dy5Er4Tm2 | the Alexandria database | GGA-PBE | optimized geometry; values from VASP
&SYSTEM
  ibrav = 0, nat = 11, ntyp = 3
/
ATOMIC_SPECIES
Tm 168.93 Tm.upf
Er 167.26 Er.upf
Dy 162.50 Dy.upf
ATOMIC_POSITIONS crystal
Tm 0.731 0.731 0.462
Tm 0.269 0.269 0.538
Er 0.000 0.311 0.000
Er 0.000 0.689 0.000
Er 0.403 0.403 0.806
Er 0.597 0.597 0.194
Dy 0.855 0.054 0.710
Dy 0.500 0.000 0.000
Dy 0.145 0.946 0.290
Dy 0.855 0.656 0.710
Dy 0.145 0.344 0.290
CELL_PARAMETERS angstrom
3.461 0.000 0.000
0.000 8.908 0.000
-1.731 -4.454 11.494
! Crystal system: orthorhombic
! M_tot (μB/f.u.): 0.00
! Space-group type: No. 71

Verdict on stability: version a comes out on top.

Version a
! Dy6Er12Tm | the Alexandria database | GGA-PBE | optimized geometry; values from VASP
&SYSTEM
  ibrav = 0, nat = 19, ntyp = 3
/
ATOMIC_SPECIES
Dy 162.50 Dy.upf
Er 167.26 Er.upf
Tm 168.93 Tm.upf
ATOMIC_POSITIONS crystal
Dy 0.091 0.689 0.256
Dy 0.909 0.311 0.744
Dy 0.689 0.256 0.091
Dy 0.311 0.744 0.909
Dy 0.256 0.091 0.689
Dy 0.744 0.909 0.311
Er 0.226 0.456 0.563
Er 0.456 0.563 0.226
Er 0.645 0.990 0.791
Er 0.355 0.010 0.209
Er 0.990 0.791 0.645
Er 0.010 0.209 0.355
Er 0.774 0.544 0.437
Er 0.209 0.355 0.010
Er 0.791 0.645 0.990
Er 0.563 0.226 0.456
Er 0.437 0.774 0.544
Er 0.544 0.437 0.774
Tm 0.000 0.000 0.000
CELL_PARAMETERS angstrom
8.352 0.720 0.863
-0.554 8.365 0.863
-0.554 -0.646 8.384
! Crystal system: trigonal
! M_tot (μB/f.u.): 0.00
! Space-group type: No. 148

Version b
! Dy6Er12Tm | the Alexandria database | GGA-PBE | optimized geometry; values from VASP
&SYSTEM
  ibrav = 0, nat = 19, ntyp = 3
/
ATOMIC_SPECIES
Er 167.26 Er.upf
Dy 162.50 Dy.upf
Tm 168.93 Tm.upf
ATOMIC_POSITIONS crystal
Er 0.083 0.355 0.355
Er 0.917 0.645 0.645
Er 0.758 0.500 0.242
Er 0.242 0.500 0.758
Er 0.758 0.242 0.500
Er 0.355 0.355 0.083
Er 0.645 0.645 0.917
Er 0.500 0.242 0.758
Er 0.645 0.917 0.645
Er 0.355 0.083 0.355
Er 0.242 0.758 0.500
Er 0.500 0.758 0.242
Dy 0.901 0.342 0.901
Dy 0.901 0.901 0.342
Dy 0.099 0.099 0.658
Dy 0.658 0.099 0.099
Dy 0.342 0.901 0.901
Dy 0.099 0.658 0.099
Tm 0.000 0.000 0.000
CELL_PARAMETERS angstrom
8.494 -0.132 -1.151
-1.300 8.395 -1.151
-0.115 -0.132 8.571
! Crystal system: trigonal
! M_tot (μB/f.u.): 0.00
! Space-group type: No. 166

Verdict on stability: version a comes out on top.

Version a
! Dy3Er7Tm2 | the Alexandria database | GGA-PBE | optimized geometry; values from VASP
&SYSTEM
  ibrav = 0, nat = 12, ntyp = 3
/
ATOMIC_SPECIES
Dy 162.50 Dy.upf
Er 167.26 Er.upf
Tm 168.93 Tm.upf
ATOMIC_POSITIONS crystal
Dy 0.167 0.167 0.666
Dy 0.500 0.500 0.000
Dy 0.833 0.833 0.334
Er 0.916 0.416 0.167
Er 0.584 0.084 0.833
Er 0.084 0.584 0.833
Er 0.250 0.750 0.500
Er 0.416 0.916 0.167
Er 0.000 0.000 0.000
Er 0.750 0.250 0.500
Tm 0.667 0.667 0.667
Tm 0.333 0.333 0.333
CELL_PARAMETERS angstrom
5.984 -0.962 0.401
-1.136 5.930 0.658
1.525 1.168 10.899
! Crystal system: orthorhombic
! M_tot (μB/f.u.): 0.00
! Space-group type: No. 69

Version b
! Dy3Er7Tm2 | the Alexandria database | GGA-PBE | optimized geometry; values from VASP
&SYSTEM
  ibrav = 0, nat = 12, ntyp = 3
/
ATOMIC_SPECIES
Er 167.26 Er.upf
Tm 168.93 Tm.upf
Dy 162.50 Dy.upf
ATOMIC_POSITIONS crystal
Er 0.000 0.573 0.146
Er 0.500 0.091 0.181
Er 0.500 0.909 0.819
Er 0.000 0.000 0.000
Er 0.000 0.427 0.854
Er 0.000 0.730 0.460
Er 0.000 0.270 0.540
Tm 0.000 0.176 0.352
Tm 0.000 0.824 0.648
Dy 0.500 0.651 0.301
Dy 0.500 0.500 0.000
Dy 0.500 0.349 0.699
CELL_PARAMETERS angstrom
3.544 0.000 0.000
0.000 5.746 0.000
0.000 -2.873 18.410
! Crystal system: orthorhombic
! M_tot (μB/f.u.): 0.00
! Space-group type: No. 65

Verdict on stability: version a comes out on top.

Version a
! DyEr2Tm7 | the Alexandria database | GGA-PBE | optimized geometry; values from VASP
&SYSTEM
  ibrav = 0, nat = 10, ntyp = 3
/
ATOMIC_SPECIES
Er 167.26 Er.upf
Tm 168.93 Tm.upf
Dy 162.50 Dy.upf
ATOMIC_POSITIONS crystal
Er 0.500 0.300 0.400
Er 0.500 0.700 0.600
Tm 0.000 0.800 0.400
Tm 0.000 0.400 0.200
Tm 0.500 0.900 0.200
Tm 0.500 0.500 0.000
Tm 0.000 0.600 0.800
Tm 0.000 0.200 0.600
Tm 0.500 0.100 0.800
Dy 0.000 0.000 0.000
CELL_PARAMETERS angstrom
-3.200 4.348 -2.711
-2.390 -0.757 -7.390
-7.332 -1.042 2.480
! Crystal system: triclinic
! M_tot (μB/f.u.): 0.00
! Space-group type: No. 2

Version b
! DyEr2Tm7 | the Alexandria database | GGA-PBE | optimized geometry; values from VASP
&SYSTEM
  ibrav = 0, nat = 10, ntyp = 3
/
ATOMIC_SPECIES
Tm 168.93 Tm.upf
Dy 162.50 Dy.upf
Er 167.26 Er.upf
ATOMIC_POSITIONS crystal
Tm 0.500 0.068 0.288
Tm 0.500 0.932 0.712
Tm 0.000 0.802 0.198
Tm 0.500 0.500 0.500
Tm 0.500 0.712 0.932
Tm 0.500 0.288 0.068
Tm 0.000 0.198 0.802
Dy 0.000 0.000 0.000
Er 0.500 0.701 0.299
Er 0.500 0.299 0.701
CELL_PARAMETERS angstrom
-1.483 4.587 1.899
-7.081 -4.185 4.580
8.662 1.386 3.416
! Crystal system: orthorhombic
! M_tot (μB/f.u.): 0.00
! Space-group type: No. 65

Verdict on stability: version a comes out on top.

Version a
! Dy12ErTm7 | the Alexandria database | GGA-PBE | optimized geometry; values from VASP
&SYSTEM
  ibrav = 0, nat = 20, ntyp = 3
/
ATOMIC_SPECIES
Dy 162.50 Dy.upf
Tm 168.93 Tm.upf
Er 167.26 Er.upf
ATOMIC_POSITIONS crystal
Dy 0.252 0.462 0.475
Dy 0.748 0.538 0.525
Dy 0.935 0.419 0.790
Dy 0.273 0.525 0.937
Dy 0.484 0.209 0.581
Dy 0.791 0.063 0.462
Dy 0.275 0.210 0.209
Dy 0.727 0.475 0.063
Dy 0.209 0.937 0.538
Dy 0.065 0.581 0.210
Dy 0.516 0.791 0.419
Dy 0.725 0.790 0.791
Tm 0.780 0.161 0.142
Tm 0.620 0.697 0.161
Tm 0.922 0.142 0.697
Tm 0.078 0.858 0.303
Tm 0.500 0.000 0.000
Tm 0.220 0.839 0.858
Tm 0.380 0.303 0.839
Er 0.000 0.000 0.000
CELL_PARAMETERS angstrom
-4.049 3.525 -3.838
-6.629 -7.825 3.589
-7.620 3.095 7.100
! Crystal system: trigonal
! M_tot (μB/f.u.): 0.00
! Space-group type: No. 148

Version b
! Dy12ErTm7 | the Alexandria database | GGA-PBE | optimized geometry; values from VASP
&SYSTEM
  ibrav = 0, nat = 20, ntyp = 3
/
ATOMIC_SPECIES
Tm 168.93 Tm.upf
Dy 162.50 Dy.upf
Er 167.26 Er.upf
ATOMIC_POSITIONS crystal
Tm 0.917 0.649 0.979
Tm 0.083 0.351 0.021
Tm 0.979 0.917 0.649
Tm 0.021 0.083 0.351
Tm 0.351 0.021 0.083
Tm 0.649 0.979 0.917
Tm 0.500 0.500 0.500
Dy 0.186 0.750 0.313
Dy 0.584 0.522 0.853
Dy 0.522 0.853 0.584
Dy 0.416 0.478 0.147
Dy 0.478 0.147 0.416
Dy 0.250 0.687 0.814
Dy 0.814 0.250 0.687
Dy 0.313 0.186 0.750
Dy 0.750 0.313 0.186
Dy 0.147 0.416 0.478
Dy 0.853 0.584 0.522
Dy 0.687 0.814 0.250
Er 0.000 0.000 0.000
CELL_PARAMETERS angstrom
8.498 0.751 1.127
-1.642 8.371 1.127
-1.642 -2.184 8.160
! Crystal system: trigonal
! M_tot (μB/f.u.): 0.00
! Space-group type: No. 148

Verdict on stability: version b comes out on top.

Version a
! Dy3Er3Tm | the Alexandria database | GGA-PBE | optimized geometry; values from VASP
&SYSTEM
  ibrav = 0, nat = 14, ntyp = 3
/
ATOMIC_SPECIES
Er 167.26 Er.upf
Dy 162.50 Dy.upf
Tm 168.93 Tm.upf
ATOMIC_POSITIONS crystal
Er 0.732 0.400 0.803
Er 0.600 0.934 0.197
Er 0.268 0.600 0.197
Er 0.400 0.066 0.803
Er 0.934 0.268 0.197
Er 0.066 0.732 0.803
Dy 0.133 0.463 0.603
Dy 0.801 0.133 0.603
Dy 0.537 0.199 0.397
Dy 0.199 0.867 0.397
Dy 0.463 0.801 0.603
Dy 0.867 0.537 0.397
Tm 0.667 0.667 0.000
Tm 0.333 0.333 0.000
CELL_PARAMETERS angstrom
-4.856 -1.175 -3.511
-4.643 -3.292 2.213
-9.298 10.226 4.130
! Crystal system: trigonal
! M_tot (μB/f.u.): 0.00
! Space-group type: No. 148

Version b
! Dy3Er3Tm | the Alexandria database | GGA-PBE | optimized geometry; values from VASP
&SYSTEM
  ibrav = 0, nat = 14, ntyp = 3
/
ATOMIC_SPECIES
Er 167.26 Er.upf
Tm 168.93 Tm.upf
Dy 162.50 Dy.upf
ATOMIC_POSITIONS crystal
Er 0.250 0.810 0.048
Er 0.250 0.238 0.190
Er 0.750 0.190 0.952
Er 0.750 0.048 0.238
Er 0.750 0.762 0.810
Er 0.250 0.952 0.762
Tm 0.250 0.667 0.333
Tm 0.750 0.333 0.667
Dy 0.250 0.524 0.620
Dy 0.750 0.619 0.095
Dy 0.750 0.476 0.380
Dy 0.250 0.096 0.476
Dy 0.250 0.381 0.905
Dy 0.750 0.904 0.524
CELL_PARAMETERS angstrom
5.583 0.000 0.000
0.000 9.481 -0.015
0.000 -4.727 8.219
! Crystal system: hexagonal
! M_tot (μB/f.u.): 0.01
! Space-group type: No. 176

Verdict on stability: version b comes out on top.

Version a
! DyEr5Tm | the Alexandria database | GGA-PBE | optimized geometry; values from VASP
&SYSTEM
  ibrav = 0, nat = 7, ntyp = 3
/
ATOMIC_SPECIES
Er 167.26 Er.upf
Dy 162.50 Dy.upf
Tm 168.93 Tm.upf
ATOMIC_POSITIONS crystal
Er 0.677 0.743 0.486
Er 0.191 0.257 0.514
Er 0.171 0.500 0.000
Er 0.433 0.179 0.000
Er 0.433 0.821 0.000
Dy 0.933 0.000 0.000
Tm 0.692 0.500 0.000
CELL_PARAMETERS angstrom
-5.404 0.349 2.719
-1.547 -7.504 -2.112
5.843 1.698 4.642
! Crystal system: orthorhombic
! M_tot (μB/f.u.): 0.00
! Space-group type: No. 44

Version b
! DyEr5Tm | the Alexandria database | GGA-PBE | optimized geometry; values from VASP
&SYSTEM
  ibrav = 0, nat = 14, ntyp = 3
/
ATOMIC_SPECIES
Dy 162.50 Dy.upf
Er 167.26 Er.upf
Tm 168.93 Tm.upf
ATOMIC_POSITIONS crystal
Dy 0.250 0.898 0.885
Dy 0.750 0.102 0.115
Er 0.750 0.588 0.923
Er 0.250 0.412 0.077
Er 0.750 0.202 0.878
Er 0.750 0.331 0.510
Er 0.750 0.646 0.277
Er 0.750 0.999 0.623
Er 0.250 0.798 0.122
Er 0.250 0.669 0.490
Er 0.250 0.001 0.377
Er 0.250 0.354 0.723
Tm 0.250 0.337 0.302
Tm 0.750 0.663 0.698
CELL_PARAMETERS angstrom
-3.259 1.422 0.011
0.121 0.349 -9.107
-5.357 -12.296 2.731
! Crystal system: monoclinic
! M_tot (μB/f.u.): 0.00
! Space-group type: No. 11

Verdict on stability: version b comes out on top.